No. 1
An optimized crystal structure of BaPS2F, computed with GGA-PBEsol.

## Properties
**Raw formation energy**: 4.054 eV per formula unit
**SG**: No. 123
**Total moment**: 6.007 μB/cell
**N(E_F)**: 12.7 states/eV/cell

Lattice parameters (Å, degrees): 5.987 5.987 6.774 90.00 90.00 90.00
Element x y z (fractional)
Ba1 0.000 0.000 0.000
P1 0.000 0.000 0.500
S1 0.000 0.500 0.000
S2 0.500 0.000 0.000
F1 0.500 0.500 0.500

***

No. 2
An optimized crystal structure of Sm4S3N2, computed with GGA-PBEsol.

## Properties
**Raw formation energy**: -17.462 eV per formula unit
**SG**: No. 12
**Total moment**: 0.000 μB/cell

Lattice parameters (Å, degrees): 6.831 6.831 10.041 127.05 127.05 33.05
Element x y z (fractional)
Sm1 0.065 0.065 0.358
Sm2 0.256 0.256 0.148
Sm3 0.744 0.744 0.852
Sm4 0.935 0.935 0.642
S1 0.329 0.329 0.718
S2 0.500 0.500 0.500
S3 0.671 0.671 0.282
N1 0.146 0.146 0.860
N2 0.854 0.854 0.140

***

No. 3
An optimized crystal structure of KFeHPd2, computed with GGA-PBEsol.

## Properties
**DFT total energy**: -3.4259 eV per atom
**SG**: No. 123
**Total moment**: 3.498 μB/cell
**N(E_F)**: 5.1 states/eV/cell

Lattice parameters (Å, degrees): 5.035 5.035 3.189 90.00 90.00 90.00
Element x y z (fractional)
K1 0.000 0.000 0.000
Fe1 0.500 0.500 0.500
H1 0.000 0.000 0.500
Pd1 0.000 0.500 0.000
Pd2 0.500 0.000 0.000